(1)
The following is a GGA-PBE calculation of an optimized crystal structure of LaSi2As2, from Alexandria via LeMat-Bulk.

The structure in CIF format:
```
data_LaSi2As2
_chemical_formula_sum 'La1 Si2 As2'
_space_group_name_H-M_alt 'P 1'
_space_group_IT_number 1
_space_group_name_Hall 'P 1'
_cell_length_a 3.9746
_cell_length_b 3.9746
_cell_length_c 7.4797
_cell_angle_alpha 74.59
_cell_angle_beta 74.59
_cell_angle_gamma 90.00
loop_
_atom_site_label
_atom_site_type_symbol
_atom_site_fract_x
_atom_site_fract_y
_atom_site_fract_z
_atom_site_occupancy
Si1 Si 0.2500 0.7500 0.5000 1
Si2 Si 0.7500 0.2500 0.5000 1
As1 As 0.5953 0.5953 0.8093 1
La1 La 0.0000 0.0000 0.0000 1
As2 As 0.4047 0.4047 0.1907 1
```

Values from the calculation:
The calculation puts the raw total energy at -5.193 eV/atom. The formation energy without anion corrections comes out at -0.18 eV/atom. The magnetization is 0.0 μB per formula unit. As for the space group: I4/mmm.

(2)
The following is a GGA-PBE calculation of an optimized crystal structure of Rb2PdPtSe4, from Alexandria via LeMat-Bulk.

The structure in CIF format:
```
data_Rb2PdPtSe4
_chemical_formula_sum 'Rb4 Pd2 Pt2 Se8'
_space_group_name_H-M_alt 'P 1'
_space_group_IT_number 1
_space_group_name_Hall 'P 1'
_cell_length_a 6.0215
_cell_length_b 7.4668
_cell_length_c 11.8646
_cell_angle_alpha 84.13
_cell_angle_beta 75.30
_cell_angle_gamma 66.22
loop_
_atom_site_label
_atom_site_type_symbol
_atom_site_fract_x
_atom_site_fract_y
_atom_site_fract_z
_atom_site_occupancy
Se1 Se 0.8408 0.6892 0.6297 1
Se2 Se 0.9092 0.8108 0.8703 1
Pt1 Pt 0.7500 0.5000 0.5000 1
Se3 Se 0.1597 0.3108 0.3703 1
Se4 Se 0.5903 0.1892 0.1297 1
Rb1 Rb 0.8113 0.0000 0.3773 1
Rb2 Rb 0.1887 0.0000 0.6227 1
Rb3 Rb 0.5613 0.5000 0.8773 1
Se5 Se 0.2800 0.8108 0.1297 1
Se6 Se 0.5295 0.3108 0.6297 1
Se7 Se 0.2205 0.1892 0.8703 1
Pd1 Pd 0.5000 0.0000 0.0000 1
Se8 Se 0.4700 0.6892 0.3703 1
Pt2 Pt 0.0000 0.0000 0.0000 1
Pd2 Pd 0.2500 0.5000 0.5000 1
Rb4 Rb 0.9387 0.5000 0.1227 1
```

Values from the calculation:
The calculation puts the raw total energy at -3.901 eV/atom. The formation energy without anion corrections comes out at -0.51 eV/atom. The magnetization is 0.0 μB per formula unit. As for the space group: Fddd.

(3)
The following is a GGA-PBE calculation of an optimized crystal structure of CaLaF, from Alexandria via LeMat-Bulk.

The structure in CIF format:
```
data_CaLaF
_chemical_formula_sum 'Ca1 La1 F1'
_space_group_name_H-M_alt 'P 1'
_space_group_IT_number 1
_space_group_name_Hall 'P 1'
_cell_length_a 3.6759
_cell_length_b 3.6759
_cell_length_c 7.6055
_cell_angle_alpha 90.00
_cell_angle_beta 90.00
_cell_angle_gamma 120.00
loop_
_atom_site_label
_atom_site_type_symbol
_atom_site_fract_x
_atom_site_fract_y
_atom_site_fract_z
_atom_site_occupancy
La1 La 0.0000 0.0000 0.9999 1
Ca1 Ca 0.6667 0.3333 0.4433 1
F1 F 0.3333 0.6667 0.5568 1
```

Values from the calculation:
The calculation puts the raw total energy at -4.541 eV/atom. The formation energy without anion corrections comes out at -1.61 eV/atom. The magnetization is 0.3 μB per formula unit. As for the space group: P3m1. As for the energy above the lowest structure with this stoichiometry: 0 meV/atom.

(4)
The following is a GGA-PBE calculation of an optimized crystal structure of Ni2GeRh3, from Alexandria via LeMat-Bulk.

The structure in CIF format:
```
data_Ni2GeRh3
_chemical_formula_sum 'Ni4 Ge2 Rh6'
_space_group_name_H-M_alt 'P 1'
_space_group_IT_number 1
_space_group_name_Hall 'P 1'
_cell_length_a 3.9789
_cell_length_b 6.3622
_cell_length_c 6.6292
_cell_angle_alpha 90.00
_cell_angle_beta 90.01
_cell_angle_gamma 71.78
loop_
_atom_site_label
_atom_site_type_symbol
_atom_site_fract_x
_atom_site_fract_y
_atom_site_fract_z
_atom_site_occupancy
Ni1 Ni 0.3257 0.3486 0.5000 1
Ni2 Ni 0.6743 0.6514 0.5000 1
Ge1 Ge 0.3508 0.2984 0.0000 1
Rh1 Rh 0.5002 0.0000 0.7341 1
Ni3 Ni 0.0000 0.0000 0.0000 1
Ni4 Ni 0.0000 0.0000 0.5000 1
Ge2 Ge 0.6492 0.7016 0.0000 1
Rh2 Rh 0.1687 0.6630 0.7619 1
Rh3 Rh 0.4998 0.0000 0.2659 1
Rh4 Rh 0.1683 0.6630 0.2381 1
Rh5 Rh 0.8317 0.3370 0.7619 1
Rh6 Rh 0.8313 0.3370 0.2381 1
```

Values from the calculation:
The calculation puts the raw total energy at -6.505 eV/atom. The magnetization is 2.2 μB per formula unit. As for the space group: Cmmm.

(5)
The following is a GGA-PBE calculation of an optimized crystal structure of MgTi4N5, from Alexandria via LeMat-Bulk.

The structure in CIF format:
```
data_MgTi4N5
_chemical_formula_sum 'Mg1 Ti4 N5'
_space_group_name_H-M_alt 'P 1'
_space_group_IT_number 1
_space_group_name_Hall 'P 1'
_cell_length_a 3.0151
_cell_length_b 4.2455
_cell_length_c 7.9874
_cell_angle_alpha 105.41
_cell_angle_beta 100.88
_cell_angle_gamma 90.00
loop_
_atom_site_label
_atom_site_type_symbol
_atom_site_fract_x
_atom_site_fract_y
_atom_site_fract_z
_atom_site_occupancy
N1 N 0.6036 0.1036 0.2072 1
N2 N 0.0000 0.5000 0.0000 1
Ti1 Ti 0.2017 0.2017 0.4033 1
Ti2 Ti 0.5996 0.5996 0.1992 1
N3 N 0.3964 0.8964 0.7928 1
Mg1 Mg 0.0000 0.0000 0.0000 1
Ti3 Ti 0.4004 0.4004 0.8008 1
Ti4 Ti 0.7983 0.7983 0.5967 1
N4 N 0.1994 0.6994 0.3989 1
N5 N 0.8006 0.3006 0.6011 1
```

Values from the calculation:
The calculation puts the raw total energy at -9.056 eV/atom. The formation energy without anion corrections comes out at -1.58 eV/atom. The magnetization is 0.0 μB per formula unit. As for the space group: Immm.

(6)
The following is a GGA-PBE calculation of an optimized crystal structure of KIr2Cl, from Alexandria via LeMat-Bulk.

The structure in CIF format:
```
data_KIr2Cl
_chemical_formula_sum 'K1 Ir2 Cl1'
_space_group_name_H-M_alt 'P 1'
_space_group_IT_number 1
_space_group_name_Hall 'P 1'
_cell_length_a 10.0974
_cell_length_b 10.0974
_cell_length_c 10.0974
_cell_angle_alpha 16.33
_cell_angle_beta 16.33
_cell_angle_gamma 16.33
loop_
_atom_site_label
_atom_site_type_symbol
_atom_site_fract_x
_atom_site_fract_y
_atom_site_fract_z
_atom_site_occupancy
K1 K 0.2500 0.2500 0.2500 1
Ir1 Ir 0.4881 0.4881 0.4881 1
Ir2 Ir 0.0119 0.0119 0.0119 1
Cl1 Cl 0.7500 0.7500 0.7500 1
```

Values from the calculation:
The calculation puts the raw total energy at -4.194 eV/atom. The formation energy without anion corrections comes out at 0.97 eV/atom. The magnetization is 0.2 μB per formula unit. As for the space group: R-3m. As for the energy above the lowest structure with this stoichiometry: 926 meV/atom.